Entry 1:
A relaxed structure of TlSb2SeI, computed with GGA-PBE.

Results
- E above lowest polymorph (meV/atom) = 0
- symmetry = P4/mmm (123)

a = 5.5258 Å, b = 5.5258 Å, c = 5.8577 Å
α = 90.00°, β = 90.00°, γ = 90.00°
Atoms (fractional coordinates):
I (0.0000, 0.0000, 0.5000)
Se (0.0000, 0.0000, 0.0000)
Sb (0.0000, 0.5000, 0.0000)
Sb (0.5000, 0.0000, 0.0000)
Tl (0.5000, 0.5000, 0.5000)

---

Entry 2:
A relaxed structure of SiPt2AuN, computed with GGA-PBE.

Results
- symmetry = P4/mmm (123)

a = 5.1123 Å, b = 3.6520 Å, c = 5.1123 Å
α = 90.00°, β = 90.00°, γ = 90.00°
Atoms (fractional coordinates):
Pt (0.0000, 0.0000, 0.5000)
Pt (0.5000, 0.0000, 0.0000)
Si (0.5000, 0.5000, 0.5000)
Au (0.0000, 0.0000, 0.0000)
N (0.0000, 0.5000, 0.0000)

---

Entry 3:
A relaxed structure of Nb2Sb2Pb, computed with GGA-PBE.

Results
- symmetry = P4/mbm (127)

a = 7.9537 Å, b = 7.9537 Å, c = 3.5332 Å
α = 90.00°, β = 90.00°, γ = 90.00°
Atoms (fractional coordinates):
Pb (0.5000, 0.5000, 0.0000)
Pb (0.0000, 0.0000, 0.0000)
Nb (0.1452, 0.3548, 0.0000)
Nb (0.6452, 0.1452, 0.0000)
Nb (0.3548, 0.8548, 0.0000)
Nb (0.8548, 0.6452, 0.0000)
Sb (0.1450, 0.6450, 0.5000)
Sb (0.3550, 0.1450, 0.5000)
Sb (0.6450, 0.8550, 0.5000)
Sb (0.8550, 0.3550, 0.5000)

---

Entry 4:
A relaxed structure of AgGe2Br, computed with GGA-PBE.

Results
- E above lowest polymorph (meV/atom) = 0
- symmetry = I-42d (122)

a = 6.0794 Å, b = 6.0794 Å, c = 7.7068 Å
α = 66.77°, β = 66.77°, γ = 90.00°
Atoms (fractional coordinates):
Br (0.5000, 0.5000, 0.0000)
Br (0.2500, 0.7500, 0.5000)
Ag (0.0000, 0.0000, 0.0000)
Ag (0.7500, 0.2500, 0.5000)
Ge (0.0709, 0.6250, 0.2500)
Ge (0.6791, 0.1250, 0.2500)
Ge (0.8750, 0.9291, 0.7500)
Ge (0.3750, 0.3209, 0.7500)

---

Entry 5:
A relaxed structure of HfFeB, computed with GGA-PBE.

Results
- E above lowest polymorph (meV/atom) = 0
- symmetry = C2/m (12)
- energy relative to the elements (meV per atom) = -567

a = 3.0704 Å, b = 4.5526 Å, c = 5.5471 Å
α = 102.99°, β = 106.07°, γ = 90.00°
Each line ends with the local moment (μB).
Atoms (fractional coordinates):
Hf (0.1244, 0.3213, 0.2488)  -0.06
Hf (0.8756, 0.6787, 0.7512)  -0.06
B (0.7676, 0.1201, 0.5353)  -0.01
B (0.2324, 0.8799, 0.4647)  -0.01
Fe (0.4043, 0.2090, 0.8087)  0.47
Fe (0.5957, 0.7910, 0.1913)  0.47

---

Entry 6:
A relaxed structure of InAg2Pb, computed with GGA-PBE.

Results
- symmetry = Cm (8)
- energy relative to the elements (meV per atom) = 63

a = 5.6553 Å, b = 5.6553 Å, c = 5.1806 Å
α = 73.03°, β = 73.03°, γ = 35.68°
Atoms (fractional coordinates):
Ag (0.0165, 0.0165, 0.0261)
Ag (0.7346, 0.7346, 0.7171)
In (0.4856, 0.4856, 0.5549)
Pb (0.2634, 0.2634, 0.2019)

---

Number 1: E_tot -2.768 eV per atom. Number 2: E_tot -4.354 eV per atom. Number 3: E_tot -6.407 eV per atom. Number 4: E_tot -3.055 eV per atom. Number 5: E_tot -8.932 eV per atom. Number 6: E_tot -2.974 eV per atom.